CaIrAu2 GGA-PBE relaxed; E_tot = -4.2776 eV/atom; DOS(E_F) = 4.092 states/eV per cell
1.0
-2.078 2.078 9.684
2.078 -2.078 9.684
2.078 2.078 -9.684
Ca Ir Au
2 2 4
Direct
0.000 0.000 0.000
0.750 0.250 0.500
0.250 0.750 0.500
0.500 0.500 0.000
0.156 0.625 0.031
0.375 0.406 0.531
0.594 0.125 0.969
0.875 0.844 0.469